one | # PmAlPt4

A geometry-optimized PmAlPt4 structure (PBE-GGA, Alexandria).

a b c (Å): 5.3876 5.3876 5.3876
angles (deg): 60.00 60.00 60.00
Last column: nearest neighbours and their distance in Å.
Fractional coordinates of all 6 atoms:
Al (0.0000, 0.0000, 0.0000)  12 Pt 3.16, 4 Pm 3.30
Pt (0.6258, 0.6258, 0.1227)  6 Pt 2.68-2.71
Pt (0.6258, 0.1227, 0.6258)  6 Pt 2.68-2.71
Pt (0.6258, 0.6258, 0.6258)  6 Pt 2.68-2.71
Pt (0.1227, 0.6258, 0.6258)  6 Pt 2.68-2.71
Pm (0.2500, 0.2500, 0.2500)  12 Pt 3.16, 4 Al 3.30

Properties
As for the total magnetic moment: 0.00 μB per formula unit. The value obtained for the density of states at the Fermi level is 2.597 states/eV/f.u. Its volume is 18.4 A^3/atom.



two | # PmAlPt4

A geometry-optimized PmAlPt4 structure (PBE-GGA, Alexandria).

a b c (Å): 3.9692 7.0139 7.7045
angles (deg): 90.00 90.00 90.00
Last column: nearest neighbours and their distance in Å.
Fractional coordinates of all 12 atoms:
Pm (0.0000, 0.6416, 0.7500)  8 Pt 2.97-3.17, 1 Al 2.99
Pm (0.0000, 0.3584, 0.2500)  8 Pt 2.97-3.17, 1 Al 2.99
Al (0.0000, 0.2155, 0.7500)  8 Pt 2.45-2.69
Al (0.0000, 0.7845, 0.2500)  8 Pt 2.45-2.69
Pt (0.0000, 0.0000, 0.5000)  2 Al 2.45
Pt (0.0000, 0.0000, 0.0000)  2 Al 2.45
Pt (0.5000, 0.9575, 0.7500)  2 Al 2.69, 8 Pt 2.78-3.00, 2 Pm 2.97
Pt (0.5000, 0.0425, 0.2500)  2 Al 2.69, 8 Pt 2.78-3.00, 2 Pm 2.97
Pt (0.5000, 0.6908, 0.0542)  2 Al 2.58, 1 Pt 2.80
Pt (0.5000, 0.3092, 0.9458)  2 Al 2.58, 1 Pt 2.80
Pt (0.5000, 0.6908, 0.4458)  2 Al 2.58, 1 Pt 2.80
Pt (0.5000, 0.3092, 0.5542)  2 Al 2.58, 1 Pt 2.80

Properties
As for the total magnetic moment: 0.00 μB per formula unit. The value obtained for the density of states at the Fermi level is 4.078 states/eV/f.u. Its volume is 17.9 A^3/atom.



Ranking the structures above by energy, two is first and the second is 12.1 kJ/mol of atoms behind.